1.
# Tb3Ho2Cd2 (PBE, optimized geometry)
data_Tb3Ho2Cd2
_symmetry_space_group_name_H-M 'R -3 m'
_symmetry_Int_Tables_number 166
_symmetry_space_group_name_Hall '-R 3 2"'
_cell_length_a 5.3753
_cell_length_b 5.3753
_cell_length_c 23.8220
_cell_angle_alpha 90.00
_cell_angle_beta 90.00
_cell_angle_gamma 120.00
loop_
_atom_site_label
_atom_site_type_symbol
_atom_site_fract_x
_atom_site_fract_y
_atom_site_fract_z
Tb1 Tb 0.0000 0.0000 0.0000
Tb2 Tb 0.0000 0.0000 0.1569
Ho1 Ho 0.0000 0.0000 0.4261
Cd1 Cd 0.0000 0.0000 0.2887
# relative energy among the computed polymorphs = 0 meV/atom
# volume = 28.4 Å³/atom


2.
# Tb5Ho4Cd (PBE, optimized geometry)
data_Tb5Ho4Cd
_symmetry_space_group_name_H-M 'P 1'
_symmetry_Int_Tables_number 1
_cell_length_a 5.741
_cell_length_b 7.984
_cell_length_c 7.986
_cell_angle_alpha 82.67
_cell_angle_beta 69.03
_cell_angle_gamma 69.08
loop_
_symmetry_equiv_pos_as_xyz
'x,y,z'
loop_
_atom_site_label
_atom_site_type_symbol
_atom_site_fract_x
_atom_site_fract_y
_atom_site_fract_z
Tb1 Tb 0.000 0.000 0.000
Tb2 Tb 0.000 0.370 0.630
Tb3 Tb 0.524 0.369 0.999
Tb4 Tb 0.628 0.741 0.000
Tb5 Tb 0.629 0.370 0.371
Ho1 Ho 0.006 0.690 0.321
Ho2 Ho 0.326 0.048 0.321
Ho3 Ho 0.326 0.691 0.679
Ho4 Ho 0.647 0.048 0.678
Cd1 Cd 0.043 0.372 0.001
# relative energy among the computed polymorphs = 96 meV/atom
# volume = 31.9 Å³/atom


3.
# Tb12Ho7Cd (PBE, optimized geometry)
data_Tb12Ho7Cd
_symmetry_space_group_name_H-M 'R -3'
_symmetry_Int_Tables_number 148
_symmetry_space_group_name_Hall '-R 3'
_cell_length_a 12.2322
_cell_length_b 12.2322
_cell_length_c 15.2457
_cell_angle_alpha 90.00
_cell_angle_beta 90.00
_cell_angle_gamma 120.00
loop_
_atom_site_label
_atom_site_type_symbol
_atom_site_fract_x
_atom_site_fract_y
_atom_site_fract_z
Tb1 Tb 0.0314 0.1875 0.3105
Tb2 Tb 0.0705 0.8129 0.9224
Ho1 Ho 0.0000 0.0000 0.5000
Ho2 Ho 0.0171 0.4418 0.2012
Cd1 Cd 0.0000 0.0000 0.0000
# E = -4.2274 eV/atom
# volume = 32.9 Å³/atom


4.
# Tb3Ho3Cd2 (PBE, optimized geometry)
data_Tb3Ho3Cd2
_symmetry_space_group_name_H-M 'C m c m'
_symmetry_Int_Tables_number 63
_symmetry_space_group_name_Hall '-C 2c 2'
_cell_length_a 5.223
_cell_length_b 11.631
_cell_length_c 15.633
_cell_angle_alpha 90.00
_cell_angle_beta 90.00
_cell_angle_gamma 90.00
loop_
_atom_site_label
_atom_site_type_symbol
_atom_site_fract_x
_atom_site_fract_y
_atom_site_fract_z
Tb1 Tb 0.000 0.041 0.105
Tb2 Tb 0.000 0.264 0.250
Ho1 Ho 0.000 0.356 0.033
Ho2 Ho 0.000 0.455 0.750
Cd1 Cd 0.000 0.228 0.637
# E = -3.7374 eV/atom
# volume = 29.7 Å³/atom


5.
# Tb2HoCd2 (PBE, optimized geometry)
data_Tb2HoCd2
_symmetry_space_group_name_H-M 'I m m m'
_symmetry_Int_Tables_number 71
_symmetry_space_group_name_Hall '-I 2 2'
_cell_length_a 4.998
_cell_length_b 6.849
_cell_length_c 8.229
_cell_angle_alpha 90.00
_cell_angle_beta 90.00
_cell_angle_gamma 90.00
loop_
_atom_site_label
_atom_site_type_symbol
_atom_site_fract_x
_atom_site_fract_y
_atom_site_fract_z
Tb1 Tb 0.000 0.000 0.198
Ho1 Ho 0.000 0.500 0.000
Cd1 Cd 0.000 0.290 0.500
# relative energy among the computed polymorphs = 92 meV/atom
# volume = 28.2 Å³/atom


6.
# Tb4Ho3Cd (PBE, optimized geometry)
data_Tb4Ho3Cd
_symmetry_space_group_name_H-M 'I m m 2'
_symmetry_Int_Tables_number 44
_cell_length_a 6.168
_cell_length_b 8.890
_cell_length_c 9.765
_cell_angle_alpha 90.00
_cell_angle_beta 90.00
_cell_angle_gamma 90.00
loop_
_symmetry_equiv_pos_as_xyz
'x,y,z'
'-x,-y,z'
'-x,y,z'
'x,-y,z'
'x+1/2,y+1/2,z+1/2'
'-x+1/2,-y+1/2,z+1/2'
'-x+1/2,y+1/2,z+1/2'
'x+1/2,-y+1/2,z+1/2'
loop_
_atom_site_label
_atom_site_type_symbol
_atom_site_fract_x
_atom_site_fract_y
_atom_site_fract_z
Tb1 Tb 0.000 0.172 0.000
Tb2 Tb 0.250 0.000 0.476
Ho1 Ho 0.000 0.319 0.317
Ho2 Ho 0.000 0.500 0.654
Cd1 Cd 0.000 0.000 0.739
# relative energy among the computed polymorphs = 440 meV/atom
# volume = 33.5 Å³/atom


7.
# Tb2HoCd8 (PBE, optimized geometry)
data_Tb2HoCd8
_symmetry_space_group_name_H-M 'C 1 2/m 1'
_symmetry_Int_Tables_number 12
_cell_length_a 8.170
_cell_length_b 15.842
_cell_length_c 5.335
_cell_angle_alpha 90.00
_cell_angle_beta 129.07
_cell_angle_gamma 90.00
loop_
_symmetry_equiv_pos_as_xyz
'x,y,z'
'-x,-y,-z'
'-x,y,-z'
'x,-y,z'
'x+1/2,y+1/2,z'
'-x+1/2,-y+1/2,-z'
'-x+1/2,y+1/2,-z'
'x+1/2,-y+1/2,z'
loop_
_atom_site_label
_atom_site_type_symbol
_atom_site_fract_x
_atom_site_fract_y
_atom_site_fract_z
Tb1 Tb 0.000 0.189 0.000
Ho1 Ho 0.000 0.500 0.500
Cd1 Cd 0.000 0.300 0.500
Cd2 Cd 0.016 0.000 0.768
Cd3 Cd 0.230 0.371 0.243
# E = -2.1548 eV/atom
# volume = 24.4 Å³/atom


8.
# TbHoCd (PBE, optimized geometry)
data_TbHoCd
_symmetry_space_group_name_H-M 'A m m 2'
_symmetry_Int_Tables_number 38
_cell_length_a 3.515
_cell_length_b 3.484
_cell_length_c 27.941
_cell_angle_alpha 90.00
_cell_angle_beta 90.00
_cell_angle_gamma 90.00
loop_
_symmetry_equiv_pos_as_xyz
'x,y,z'
'-x,-y,z'
'-x,y,z'
'x,-y,z'
'x,y+1/2,z+1/2'
'-x,-y+1/2,z+1/2'
'-x,y+1/2,z+1/2'
'x,-y+1/2,z+1/2'
loop_
_atom_site_label
_atom_site_type_symbol
_atom_site_fract_x
_atom_site_fract_y
_atom_site_fract_z
Tb1 Tb 0.000 0.000 0.000
Tb2 Tb 0.000 0.000 0.151
Ho1 Ho 0.000 0.000 0.303
Ho2 Ho 0.500 0.000 0.892
Cd1 Cd 0.500 0.000 0.575
Cd2 Cd 0.500 0.000 0.728
# relative energy among the computed polymorphs = 84 meV/atom
# volume = 28.5 Å³/atom


9.
# Tb3Ho5Cd (PBE, optimized geometry)
data_Tb3Ho5Cd
_symmetry_space_group_name_H-M 'C 1 2/m 1'
_symmetry_Int_Tables_number 12
_cell_length_a 14.785
_cell_length_b 11.395
_cell_length_c 9.527
_cell_angle_alpha 90.00
_cell_angle_beta 128.46
_cell_angle_gamma 90.00
loop_
_symmetry_equiv_pos_as_xyz
'x,y,z'
'-x,-y,-z'
'-x,y,-z'
'x,-y,z'
'x+1/2,y+1/2,z'
'-x+1/2,-y+1/2,-z'
'-x+1/2,y+1/2,-z'
'x+1/2,-y+1/2,z'
loop_
_atom_site_label
_atom_site_type_symbol
_atom_site_fract_x
_atom_site_fract_y
_atom_site_fract_z
Tb1 Tb 0.000 0.000 0.000
Tb2 Tb 0.000 0.500 0.500
Tb3 Tb 0.017 0.000 0.331
Tb4 Tb 0.019 0.500 0.857
Ho1 Ho 0.000 0.241 0.500
Ho2 Ho 0.159 0.246 0.249
Ho3 Ho 0.218 0.500 0.526
Ho4 Ho 0.226 0.000 0.759
Cd1 Cd 0.250 0.000 0.114
# E = -3.7291 eV/atom
# volume = 34.9 Å³/atom


10.
# Tb7HoCd4 (PBE, optimized geometry)
data_Tb7HoCd4
_symmetry_space_group_name_H-M 'C 1 2/m 1'
_symmetry_Int_Tables_number 12
_cell_length_a 14.735
_cell_length_b 5.714
_cell_length_c 9.757
_cell_angle_alpha 90.00
_cell_angle_beta 121.96
_cell_angle_gamma 90.00
loop_
_symmetry_equiv_pos_as_xyz
'x,y,z'
'-x,-y,-z'
'-x,y,-z'
'x,-y,z'
'x+1/2,y+1/2,z'
'-x+1/2,-y+1/2,-z'
'-x+1/2,y+1/2,-z'
'x+1/2,-y+1/2,z'
loop_
_atom_site_label
_atom_site_type_symbol
_atom_site_fract_x
_atom_site_fract_y
_atom_site_fract_z
Tb1 Tb 0.000 0.000 0.000
Tb2 Tb 0.071 0.500 0.412
Tb3 Tb 0.205 0.500 0.881
Tb4 Tb 0.239 0.000 0.695
Ho1 Ho 0.000 0.500 0.000
Cd1 Cd 0.042 0.000 0.712
Cd2 Cd 0.181 0.000 0.342
# E = -3.3839 eV/atom
# volume = 29.0 Å³/atom


11.
# Tb4HoCd (PBE, optimized geometry)
data_Tb4HoCd
_symmetry_space_group_name_H-M 'P 4/m m m'
_symmetry_Int_Tables_number 123
_symmetry_space_group_name_Hall '-P 4 2'
_cell_length_a 3.566
_cell_length_b 3.566
_cell_length_c 14.168
_cell_angle_alpha 90.00
_cell_angle_beta 90.00
_cell_angle_gamma 90.00
loop_
_atom_site_label
_atom_site_type_symbol
_atom_site_fract_x
_atom_site_fract_y
_atom_site_fract_z
Tb1 Tb 0.000 0.000 0.148
Tb2 Tb 0.500 0.500 0.324
Ho1 Ho 0.000 0.000 0.500
Cd1 Cd 0.500 0.500 0.000
# relative energy among the computed polymorphs = 0 meV/atom
# volume = 30.0 Å³/atom


12.
# TbHo2Cd (PBE, optimized geometry)
data_TbHo2Cd
_symmetry_space_group_name_H-M 'P 4/m m m'
_symmetry_Int_Tables_number 123
_symmetry_space_group_name_Hall '-P 4 2'
_cell_length_a 3.571
_cell_length_b 3.571
_cell_length_c 9.032
_cell_angle_alpha 90.00
_cell_angle_beta 90.00
_cell_angle_gamma 90.00
loop_
_atom_site_label
_atom_site_type_symbol
_atom_site_fract_x
_atom_site_fract_y
_atom_site_fract_z
Tb1 Tb 0.000 0.000 0.000
Ho1 Ho 0.500 0.500 0.273
Cd1 Cd 0.000 0.000 0.500
# relative energy among the computed polymorphs = 0 meV/atom
# volume = 28.8 Å³/atom


13.
# TbHoCd (PBE, optimized geometry)
data_TbHoCd
_symmetry_space_group_name_H-M 'P m m a'
_symmetry_Int_Tables_number 51
_cell_length_a 6.147
_cell_length_b 3.361
_cell_length_c 8.142
_cell_angle_alpha 90.00
_cell_angle_beta 90.00
_cell_angle_gamma 90.00
loop_
_symmetry_equiv_pos_as_xyz
'x,y,z'
'-x,-y,-z'
'-x+1/2,-y,z'
'x+1/2,y,-z'
'x+1/2,-y,-z'
'-x+1/2,y,z'
'-x,y,-z'
'x,-y,z'
loop_
_atom_site_label
_atom_site_type_symbol
_atom_site_fract_x
_atom_site_fract_y
_atom_site_fract_z
Tb1 Tb 0.000 0.000 0.000
Ho1 Ho 0.250 0.000 0.385
Cd1 Cd 0.250 0.500 0.712
# relative energy among the computed polymorphs = 162 meV/atom
# volume = 28.0 Å³/atom


14.
# Tb2Ho4Cd (PBE, optimized geometry)
data_Tb2Ho4Cd
_symmetry_space_group_name_H-M 'C 1 2/m 1'
_symmetry_Int_Tables_number 12
_cell_length_a 16.423
_cell_length_b 3.475
_cell_length_c 8.435
_cell_angle_alpha 90.00
_cell_angle_beta 117.28
_cell_angle_gamma 90.00
loop_
_symmetry_equiv_pos_as_xyz
'x,y,z'
'-x,-y,-z'
'-x,y,-z'
'x,-y,z'
'x+1/2,y+1/2,z'
'-x+1/2,-y+1/2,-z'
'-x+1/2,y+1/2,-z'
'x+1/2,-y+1/2,z'
loop_
_atom_site_label
_atom_site_type_symbol
_atom_site_fract_x
_atom_site_fract_y
_atom_site_fract_z
Tb1 Tb 0.218 0.000 0.141
Ho1 Ho 0.080 0.000 0.702
Ho2 Ho 0.131 0.500 0.394
Cd1 Cd 0.000 0.000 0.000
# E = -4.0256 eV/atom
# volume = 30.6 Å³/atom


15.
# Tb4Ho5Cd (PBE, optimized geometry)
data_Tb4Ho5Cd
_symmetry_space_group_name_H-M 'P 4/m m m'
_symmetry_Int_Tables_number 123
_symmetry_space_group_name_Hall '-P 4 2'
_cell_length_a 4.064
_cell_length_b 4.064
_cell_length_c 18.452
_cell_angle_alpha 90.00
_cell_angle_beta 90.00
_cell_angle_gamma 90.00
loop_
_atom_site_label
_atom_site_type_symbol
_atom_site_fract_x
_atom_site_fract_y
_atom_site_fract_z
Tb1 Tb 0.000 0.000 0.102
Tb2 Tb 0.000 0.000 0.301
Ho1 Ho 0.500 0.500 0.000
Ho2 Ho 0.500 0.500 0.204
Ho3 Ho 0.500 0.500 0.408
Cd1 Cd 0.000 0.000 0.500
# relative energy among the computed polymorphs = 0 meV/atom
# volume = 30.5 Å³/atom


16.
# Tb5HoCd3 (PBE, optimized geometry)
data_Tb5HoCd3
_symmetry_space_group_name_H-M 'P 63/m c m'
_symmetry_Int_Tables_number 193
_symmetry_space_group_name_Hall '-P 6c 2'
_cell_length_a 9.2023
_cell_length_b 9.2023
_cell_length_c 6.9438
_cell_angle_alpha 90.00
_cell_angle_beta 90.00
_cell_angle_gamma 120.00
loop_
_atom_site_label
_atom_site_type_symbol
_atom_site_fract_x
_atom_site_fract_y
_atom_site_fract_z
Tb1 Tb 0.0000 0.3331 0.2500
Tb2 Tb 0.3333 0.6667 0.0000
Ho1 Ho 0.0000 0.0000 0.0000
Cd1 Cd 0.0000 0.3327 0.7500
# E = -3.5741 eV/atom
# volume = 28.3 Å³/atom


17.
# TbHo8Cd2 (PBE, optimized geometry)
data_TbHo8Cd2
_symmetry_space_group_name_H-M 'C 1 2/m 1'
_symmetry_Int_Tables_number 12
_cell_length_a 8.730
_cell_length_b 15.013
_cell_length_c 5.541
_cell_angle_alpha 90.00
_cell_angle_beta 112.38
_cell_angle_gamma 90.00
loop_
_symmetry_equiv_pos_as_xyz
'x,y,z'
'-x,-y,-z'
'-x,y,-z'
'x,-y,z'
'x+1/2,y+1/2,z'
'-x+1/2,-y+1/2,-z'
'-x+1/2,y+1/2,-z'
'x+1/2,-y+1/2,z'
loop_
_atom_site_label
_atom_site_type_symbol
_atom_site_fract_x
_atom_site_fract_y
_atom_site_fract_z
Tb1 Tb 0.000 0.000 0.000
Ho1 Ho 0.000 0.220 0.000
Ho2 Ho 0.100 0.500 0.798
Ho3 Ho 0.207 0.113 0.615
Cd1 Cd 0.000 0.306 0.500
# E = -3.8780 eV/atom
# volume = 30.5 Å³/atom


18.
# TbHo2Cd (PBE, optimized geometry)
data_TbHo2Cd
_symmetry_space_group_name_H-M 'F m -3 m'
_symmetry_Int_Tables_number 225
_symmetry_space_group_name_Hall '-F 4 2 3'
_cell_length_a 7.668
_cell_length_b 7.668
_cell_length_c 7.668
_cell_angle_alpha 90.00
_cell_angle_beta 90.00
_cell_angle_gamma 90.00
loop_
_atom_site_label
_atom_site_type_symbol
_atom_site_fract_x
_atom_site_fract_y
_atom_site_fract_z
Tb1 Tb 0.000 0.000 0.000
Ho1 Ho 0.250 0.250 0.250
Cd1 Cd 0.000 0.000 0.500
# relative energy among the computed polymorphs = 143 meV/atom
# volume = 28.2 Å³/atom


19.
# Tb8HoCd6 (PBE, optimized geometry)
data_Tb8HoCd6
_symmetry_space_group_name_H-M 'R -3'
_symmetry_Int_Tables_number 148
_symmetry_space_group_name_Hall '-R 3'
_cell_length_a 8.9854
_cell_length_b 8.9854
_cell_length_c 19.1781
_cell_angle_alpha 90.00
_cell_angle_beta 90.00
_cell_angle_gamma 120.00
loop_
_atom_site_label
_atom_site_type_symbol
_atom_site_fract_x
_atom_site_fract_y
_atom_site_fract_z
Tb1 Tb 0.0000 0.0000 0.1662
Tb2 Tb 0.0003 0.3329 0.7170
Ho1 Ho 0.0000 0.0000 0.5000
Cd1 Cd 0.9998 0.3318 0.5512
# E = -3.2140 eV/atom
# volume = 29.8 Å³/atom


20.
# Tb2Ho2Cd (PBE, optimized geometry)
data_Tb2Ho2Cd
_symmetry_space_group_name_H-M 'I 41/a m d'
_symmetry_Int_Tables_number 141
_cell_length_a 5.044
_cell_length_b 5.044
_cell_length_c 25.201
_cell_angle_alpha 90.00
_cell_angle_beta 90.00
_cell_angle_gamma 90.00
loop_
_symmetry_equiv_pos_as_xyz
'x,y,z'
'-x,-y,-z'
'-y+1/4,x+3/4,z+1/4'
'y+1/4,-x+3/4,-z+1/4'
'-x+1/2,-y,z+1/2'
'x+1/2,y,-z+1/2'
'y+1/4,-x+1/4,z+3/4'
'-y+1/4,x+1/4,-z+3/4'
'x,-y,-z'
'-x,y,z'
'-y+1/4,-x+1/4,-z+3/4'
'y+1/4,x+1/4,z+3/4'
'-x+1/2,y,-z+1/2'
'x+1/2,-y,z+1/2'
'y+1/4,x+3/4,-z+1/4'
'-y+1/4,-x+3/4,z+1/4'
'x+1/2,y+1/2,z+1/2'
'-x+1/2,-y+1/2,-z+1/2'
'-y+3/4,x+1/4,z+3/4'
'y+3/4,-x+1/4,-z+3/4'
'-x,-y+1/2,z'
'x,y+1/2,-z'
'y+3/4,-x+3/4,z+1/4'
'-y+3/4,x+3/4,-z+1/4'
'x+1/2,-y+1/2,-z+1/2'
'-x+1/2,y+1/2,z+1/2'
'-y+3/4,-x+3/4,-z+1/4'
'y+3/4,x+3/4,z+1/4'
'-x,y+1/2,-z'
'x,-y+1/2,z'
'y+3/4,x+1/4,-z+3/4'
'-y+3/4,-x+1/4,z+3/4'
loop_
_atom_site_label
_atom_site_type_symbol
_atom_site_fract_x
_atom_site_fract_y
_atom_site_fract_z
Tb1 Tb 0.000 0.250 0.052
Ho1 Ho 0.000 0.250 0.203
Cd1 Cd 0.000 0.250 0.375
# relative energy among the computed polymorphs = 176 meV/atom
# volume = 32.1 Å³/atom